(1)
SnGe2Cl8 | Alexandria | PBE | optimized geometry; space-group type = No. 12; magnetic moment = 0.00 Bohr magnetons per cell; DOS at the Fermi energy = 0.000 states/eV/atom; V = 376 Å³ per cell; total energy = -36.979 eV for the cell shown
1.0
5.4798 -5.0824 0.0000
5.4798 5.0824 0.0000
-1.9724 0.0000 6.7583
Sn Ge Cl
1 2 8
Cartesian
0.0000 0.0000 0.0000 Sn
2.4682 0.0000 2.7893 Ge
6.5190 0.0000 3.9691 Ge
2.2737 3.3510 5.3372 Cl
-0.1792 0.0000 5.2085 Cl
6.7135 3.3510 1.4212 Cl
4.3167 0.0000 1.5253 Cl
4.6706 0.0000 5.2330 Cl
2.2737 -3.3510 5.3372 Cl
9.1664 0.0000 1.5499 Cl
6.7135 -3.3510 1.4212 Cl

***

(2)
Sn2GeCl6 | Alexandria | PBE | optimized geometry; space-group type = No. 14; magnetic moment = 0.00 Bohr magnetons per cell; DOS at the Fermi energy = 0.000 states/eV/atom; V = 578 Å³ per cell; total energy = -63.926 eV for the cell shown
1.0
7.1454 0.0000 0.0000
0.0000 6.6630 0.0000
-6.9123 0.0000 12.1475
Sn Ge Cl
4 2 12
Cartesian
0.0507 0.0232 2.1863 Sn
-3.4055 3.3082 8.2600 Sn
3.6385 3.3547 3.8875 Sn
0.1823 6.6397 9.9612 Sn
3.5727 0.0000 0.0000 Ge
0.1165 3.3315 6.0737 Ge
-2.1822 4.7407 5.7926 Cl
-5.6384 5.2538 11.8663 Cl
-4.2113 1.5001 10.0917 Cl
-0.7551 1.8314 4.0180 Cl
2.1772 1.5686 1.7047 Cl
-1.2790 1.7628 7.7784 Cl
1.5120 4.9001 4.3690 Cl
-1.9442 5.0943 10.4427 Cl
0.9881 4.8316 8.1295 Cl
4.4443 5.1629 2.0557 Cl
5.8714 1.4092 0.2812 Cl
2.4153 1.9223 6.3549 Cl

***

(3)
Sn5Ge3Cl12 | Alexandria | PBE | optimized geometry; space-group type = No. 230; magnetic moment = 6.67 Bohr magnetons per cell; DOS at the Fermi energy = 0.512 states/eV/atom; V = 2464 Å³ per cell; total energy = -262.763 eV for the cell shown
1.0
-8.5085 8.5085 8.5085
8.5085 -8.5085 8.5085
8.5085 8.5085 -8.5085
Sn Ge Cl
20 12 48
Cartesian
0.0000 0.0000 0.0000 Sn
4.2543 4.2543 -4.2543 Sn
4.2543 -4.2543 4.2543 Sn
8.5085 0.0000 0.0000 Sn
12.7628 2.1271 0.0000 Sn
8.5085 -4.2543 6.3814 Sn
6.3814 8.5085 -4.2543 Sn
6.3814 0.0000 4.2543 Sn
4.2543 6.3814 0.0000 Sn
8.5085 4.2543 2.1271 Sn
-4.2543 4.2543 4.2543 Sn
0.0000 8.5085 0.0000 Sn
0.0000 0.0000 8.5085 Sn
4.2543 4.2543 4.2543 Sn
0.0000 4.2543 6.3814 Sn
4.2543 2.1271 8.5085 Sn
2.1271 8.5085 4.2543 Sn
2.1271 0.0000 12.7628 Sn
0.0000 12.7628 2.1271 Sn
-4.2543 6.3814 8.5085 Sn
4.2543 2.1271 0.0000 Ge
8.5085 4.2543 -2.1271 Ge
2.1271 0.0000 4.2543 Ge
10.6357 0.0000 4.2543 Ge
0.0000 4.2543 2.1271 Ge
4.2543 -2.1271 8.5085 Ge
4.2543 10.6357 0.0000 Ge
8.5085 4.2543 6.3814 Ge
-2.1271 8.5085 4.2543 Ge
6.3814 8.5085 4.2543 Ge
0.0000 4.2543 10.6357 Ge
4.2543 6.3814 8.5085 Ge
6.9444 -3.1860 4.0082 Cl
14.3270 -0.2461 1.0683 Cl
6.9444 5.3225 -4.0082 Cl
5.8184 0.2461 1.0683 Cl
8.7547 7.4403 -5.8184 Cl
4.0082 -1.5642 3.1860 Cl
3.1860 4.0082 -1.5642 Cl
9.5768 2.6901 -0.2461 Cl
5.3225 -4.0082 6.9444 Cl
7.4403 -5.8184 8.7547 Cl
4.0082 6.9444 -3.1860 Cl
8.7547 1.0683 2.6901 Cl
8.7547 -1.0683 5.8184 Cl
12.5167 1.5642 3.1860 Cl
5.3225 4.0082 1.5642 Cl
7.4403 5.8184 -0.2461 Cl
1.0683 5.8184 0.2461 Cl
11.6946 4.5004 1.5642 Cl
0.2461 1.0683 5.8184 Cl
4.0082 1.5642 5.3225 Cl
-1.5642 3.1860 4.0082 Cl
5.8184 -0.2461 7.4403 Cl
5.8184 8.7547 -1.0683 Cl
6.9444 3.1860 4.5004 Cl
1.5642 5.3225 4.0082 Cl
2.6901 -0.2461 9.5768 Cl
2.6901 8.7547 1.0683 Cl
10.0727 5.3225 4.5004 Cl
4.5004 6.9444 3.1860 Cl
8.2624 7.4403 2.6901 Cl
-3.1860 4.0082 6.9444 Cl
7.4403 2.6901 8.2624 Cl
1.0683 2.6901 8.7547 Cl
3.1860 4.5004 6.9444 Cl
-4.0082 6.9444 5.3225 Cl
-0.2461 9.5768 2.6901 Cl
-0.2461 7.4403 5.8184 Cl
4.5004 1.5642 11.6946 Cl
1.0683 14.3270 -0.2461 Cl
3.1860 12.5167 1.5642 Cl
-1.0683 5.8184 8.7547 Cl
5.3225 4.5004 10.0727 Cl
4.5004 10.0727 5.3225 Cl
-0.2461 1.0683 14.3270 Cl
2.6901 8.2624 7.4403 Cl
1.5642 3.1860 12.5167 Cl
-5.8184 8.7547 7.4403 Cl
1.5642 11.6946 4.5004 Cl

***

| no. | ΔE_f (raw) (eV/atom) |
| --- | --- |
| 1 | -0.8153 |
| 2 | -0.9178 |
| 3 | -0.4832 |